Density functional theory data (PBE with a Hubbard U) for crystalline BeFePd2O at its relaxed geometry.

POSCAR file:
```
BeFePd2O
1.0
-2.238 0.363 4.241
2.465 -0.765 1.367
1.281 4.627 0.280
O Be Fe Pd
1 1 1 2
Cartesian
1.233 -0.383 0.684 O
0.000 0.000 0.000 Be
0.754 2.112 2.944 Fe
0.641 2.313 0.140 Pd
-1.119 0.182 2.120 Pd
```

## Properties
Space-group type: No. 123
M_tot: 3.81 μB per formula unit
Total energy: -5.19 eV/atom
D(E_F): 0.58 states/eV per atom